VASP calculation (GGA-PBE) on a relaxed structure of CdHgSbPb.

Structure (POSCAR):
```
CdHgSbPb
1.0
4.6291 0.0000 0.0000
2.3146 4.0089 0.0000
2.3146 1.3363 14.7848
Pb Sb Cd Hg
2 2 2 2
Direct
0.5000 0.5000 0.5000
0.0000 0.0000 0.0000
0.3775 0.3775 0.8674
0.6225 0.6225 0.1326
0.2674 0.2674 0.1977
0.7326 0.7326 0.8023
0.2024 0.2024 0.3928
0.7976 0.7976 0.6072
```

## Properties
V (Å³ per cell): 274
Spin magnetization (μB per cell): 0.0
E_form (uncorrected) (meV per atom): 106
Space group: R-3m
Calculated total energy (eV per atom): -2.16